No. 1
TlCu2F2: optimized geometry, GGA-PBE.

Cell and atoms, written as CIF:
```
data_TlCu2F2
_space_group_name_H-M_alt 'I 4/m m m'
_space_group_IT_number 139
_space_group_name_Hall '-I 4 2'
_cell_length_a 3.5052
_cell_length_b 3.5052
_cell_length_c 12.9435
_cell_angle_alpha 90.00
_cell_angle_beta 90.00
_cell_angle_gamma 90.00
loop_
_atom_site_label
_atom_site_type_symbol
_atom_site_fract_x
_atom_site_fract_y
_atom_site_fract_z
Tl1 Tl 0.0000 0.0000 0.0000
Cu1 Cu 0.0000 0.5000 0.2500
F1 F 0.0000 0.0000 0.3766
```

Output
Calculated total energy (eV/atom): -3.58
Formation energy from raw total energies (eV per atom): -0.72
Size of the total moment (μB/atom): 0.000
Distance to the lowest polymorph of the same formula (eV/f.u.): 0.000
Mass density (g cm⁻³): 7.716

No. 2
BaZn13: optimized geometry, GGA-PBE.

Cell and atoms, written as CIF:
```
data_BaZn13
_space_group_name_H-M_alt 'F m -3 c'
_space_group_IT_number 226
_space_group_name_Hall '-F 4a 2 3'
_cell_length_a 12.3880
_cell_length_b 12.3880
_cell_length_c 12.3880
_cell_angle_alpha 90.00
_cell_angle_beta 90.00
_cell_angle_gamma 90.00
loop_
_atom_site_label
_atom_site_type_symbol
_atom_site_fract_x
_atom_site_fract_y
_atom_site_fract_z
Ba1 Ba 0.2500 0.2500 0.2500
Zn1 Zn 0.0000 0.0000 0.0000
Zn2 Zn 0.0000 0.1203 0.1791
```

Output
Calculated total energy (eV/atom): -1.48
Size of the total moment (μB/atom): 0.000
ΔH_f (0 K) (eV per atom): -0.16
Mass density (g cm⁻³): 6.901

No. 3
Sr2Al3ZnCu12: optimized geometry, GGA-PBE.

Cell and atoms, written as CIF:
```
data_Sr2Al3ZnCu12
_space_group_name_H-M_alt 'R -3 m'
_space_group_IT_number 166
_space_group_name_Hall '-R 3 2"'
_cell_length_a 8.1141
_cell_length_b 8.1141
_cell_length_c 18.8310
_cell_angle_alpha 90.00
_cell_angle_beta 90.00
_cell_angle_gamma 120.00
loop_
_atom_site_label
_atom_site_type_symbol
_atom_site_fract_x
_atom_site_fract_y
_atom_site_fract_z
Sr1 Sr 0.0000 0.0000 0.0993
Al1 Al 0.0000 0.5000 0.0000
Zn1 Zn 0.0000 0.0000 0.5000
Cu1 Cu 0.0138 0.5069 0.1336
Cu2 Cu 0.1050 0.2100 0.7406
```

Output
Calculated total energy (eV/atom): -3.40
Size of the total moment (μB/atom): 0.000
ΔH_f (0 K) (eV per atom): 0.21
Mass density (g cm⁻³): 5.030

No. 4
TbHoCd14: optimized geometry, GGA-PBE.

Cell and atoms, written as CIF:
```
data_TbHoCd14
_space_group_name_H-M_alt 'P 4/m m m'
_space_group_IT_number 123
_space_group_name_Hall '-P 4 2'
_cell_length_a 6.5946
_cell_length_b 6.5946
_cell_length_c 8.4968
_cell_angle_alpha 90.00
_cell_angle_beta 90.00
_cell_angle_gamma 90.00
loop_
_atom_site_label
_atom_site_type_symbol
_atom_site_fract_x
_atom_site_fract_y
_atom_site_fract_z
Tb1 Tb 0.0000 0.0000 0.0000
Ho1 Ho 0.5000 0.5000 0.0000
Cd1 Cd 0.0000 0.0000 0.5000
Cd2 Cd 0.0000 0.5000 0.0000
Cd3 Cd 0.0000 0.5000 0.5000
Cd4 Cd 0.2507 0.2507 0.2578
Cd5 Cd 0.5000 0.5000 0.5000
```

Output
Calculated total energy (eV/atom): -1.51
Size of the total moment (μB/atom): 0.000
ΔH_f (0 K) (eV per atom): -0.14
Mass density (g cm⁻³): 8.528

No. 5
ScBe2Au2: optimized geometry, GGA-PBE.

Cell and atoms, written as CIF:
```
data_ScBe2Au2
_space_group_name_H-M_alt 'I 4/m m m'
_space_group_IT_number 139
_space_group_name_Hall '-I 4 2'
_cell_length_a 3.6043
_cell_length_b 3.6043
_cell_length_c 12.0589
_cell_angle_alpha 90.00
_cell_angle_beta 90.00
_cell_angle_gamma 90.00
loop_
_atom_site_label
_atom_site_type_symbol
_atom_site_fract_x
_atom_site_fract_y
_atom_site_fract_z
Sc1 Sc 0.0000 0.0000 0.0000
Be1 Be 0.0000 0.5000 0.2500
Au1 Au 0.0000 0.0000 0.3808
```

Output
Calculated total energy (eV/atom): -4.43
Size of the total moment (μB/atom): 0.000
ΔH_f (0 K) (eV per atom): -0.36
Distance to the lowest polymorph of the same formula (eV/f.u.): 0.000
Mass density (g cm⁻³): 9.686

No. 6
Re2SeBr: optimized geometry, GGA-PBE.

Cell and atoms, written as CIF:
```
data_Re2SeBr
_space_group_name_H-M_alt 'P 4 m m'
_space_group_IT_number 99
_cell_length_a 2.9830
_cell_length_b 2.9830
_cell_length_c 9.2435
_cell_angle_alpha 90.00
_cell_angle_beta 90.00
_cell_angle_gamma 90.00
loop_
_space_group_symop_operation_xyz
'x,y,z'
'-y,x,z'
'-x,-y,z'
'y,-x,z'
'-x,y,z'
'y,x,z'
'x,-y,z'
'-y,-x,z'
loop_
_atom_site_label
_atom_site_type_symbol
_atom_site_fract_x
_atom_site_fract_y
_atom_site_fract_z
Re1 Re 0.0000 0.0000 0.0000
Re2 Re 0.5000 0.5000 0.1848
Se1 Se 0.0000 0.0000 0.3644
Br1 Br 0.5000 0.5000 0.8029
```

Output
Calculated total energy (eV/atom): -7.22
Formation energy from raw total energies (eV per atom): 0.30
Size of the total moment (μB/atom): 0.000
Distance to the lowest polymorph of the same formula (eV/f.u.): 0.448
Mass density (g cm⁻³): 10.726

No. 7
Nb2Ga2Sb: optimized geometry, GGA-PBE.

Cell and atoms, written as CIF:
```
data_Nb2Ga2Sb
_space_group_name_H-M_alt 'P 4/m b m'
_space_group_IT_number 127
_space_group_name_Hall '-P 4 2ab'
_cell_length_a 7.1417
_cell_length_b 7.1417
_cell_length_c 3.7875
_cell_angle_alpha 90.00
_cell_angle_beta 90.00
_cell_angle_gamma 90.00
loop_
_atom_site_label
_atom_site_type_symbol
_atom_site_fract_x
_atom_site_fract_y
_atom_site_fract_z
Nb1 Nb 0.1371 0.3629 0.0000
Ga1 Ga 0.1600 0.6600 0.5000
Sb1 Sb 0.0000 0.0000 0.0000
```

Output
Calculated total energy (eV/atom): -6.15
Formation energy from raw total energies (eV per atom): -0.08
Size of the total moment (μB/atom): 0.000
Distance to the lowest polymorph of the same formula (eV/f.u.): 0.000
Mass density (g cm⁻³): 7.685

No. 8
Ba2NaCa2: optimized geometry, GGA-PBE.

Cell and atoms, written as CIF:
```
data_Ba2NaCa2
_space_group_name_H-M_alt 'P 4/m b m'
_space_group_IT_number 127
_space_group_name_Hall '-P 4 2ab'
_cell_length_a 9.2829
_cell_length_b 9.2829
_cell_length_c 6.1331
_cell_angle_alpha 90.00
_cell_angle_beta 90.00
_cell_angle_gamma 90.00
loop_
_atom_site_label
_atom_site_type_symbol
_atom_site_fract_x
_atom_site_fract_y
_atom_site_fract_z
Ba1 Ba 0.1666 0.3334 0.0000
Na1 Na 0.0000 0.0000 0.5000
Ca1 Ca 0.1402 0.6402 0.5000
```

Output
Calculated total energy (eV/atom): -1.71
Size of the total moment (μB/atom): 0.000
ΔH_f (0 K) (eV per atom): 0.13
Distance to the lowest polymorph of the same formula (eV/f.u.): 0.505
Mass density (g cm⁻³): 2.374

No. 9
Ho6Ge2AsS3: optimized geometry, GGA-PBE.

Cell and atoms, written as CIF:
```
data_Ho6Ge2AsS3
_space_group_name_H-M_alt 'C 1 2/m 1'
_space_group_IT_number 12
_cell_length_a 17.4890
_cell_length_b 4.0315
_cell_length_c 8.0272
_cell_angle_alpha 90.00
_cell_angle_beta 102.80
_cell_angle_gamma 90.00
loop_
_space_group_symop_operation_xyz
'x,y,z'
'-x,-y,-z'
'-x,y,-z'
'x,-y,z'
'x+1/2,y+1/2,z'
'-x+1/2,-y+1/2,-z'
'-x+1/2,y+1/2,-z'
'x+1/2,-y+1/2,z'
loop_
_atom_site_label
_atom_site_type_symbol
_atom_site_fract_x
_atom_site_fract_y
_atom_site_fract_z
Ho1 Ho 0.0017 0.0000 0.2511
Ho2 Ho 0.1670 0.5000 0.0862
Ho3 Ho 0.1668 0.5000 0.5822
Ge1 Ge 0.1667 0.0000 0.3328
As1 As 0.0000 0.5000 0.0000
S1 S 0.0000 0.5000 0.5000
S2 S 0.1653 0.0000 0.8339
```

Output
Calculated total energy (eV/atom): -6.05
Formation energy from raw total energies (eV per atom): -1.57
Size of the total moment (μB/atom): 0.000
Mass density (g cm⁻³): 7.859

No. 10
KInAs2: optimized geometry, GGA-PBE.

Cell and atoms, written as CIF:
```
data_KInAs2
_space_group_name_H-M_alt 'I -4 2 d'
_space_group_IT_number 122
_space_group_name_Hall 'I -4 2bw'
_cell_length_a 5.3333
_cell_length_b 5.3333
_cell_length_c 18.5341
_cell_angle_alpha 90.00
_cell_angle_beta 90.00
_cell_angle_gamma 90.00
loop_
_atom_site_label
_atom_site_type_symbol
_atom_site_fract_x
_atom_site_fract_y
_atom_site_fract_z
K1 K 0.0000 0.0000 0.0000
In1 In 0.0000 0.0000 0.5000
As1 As 0.0979 0.2500 0.6250
```

Output
Calculated total energy (eV/atom): -3.35
Size of the total moment (μB/atom): 0.000
ΔH_f (0 K) (eV per atom): -0.07
Mass density (g cm⁻³): 3.827

No. 11
ZnRh2Au: optimized geometry, GGA-PBE.

Cell and atoms, written as CIF:
```
data_ZnRh2Au
_space_group_name_H-M_alt 'I 4/m m m'
_space_group_IT_number 139
_space_group_name_Hall '-I 4 2'
_cell_length_a 3.9840
_cell_length_b 3.9840
_cell_length_c 7.6062
_cell_angle_alpha 90.00
_cell_angle_beta 90.00
_cell_angle_gamma 90.00
loop_
_atom_site_label
_atom_site_type_symbol
_atom_site_fract_x
_atom_site_fract_y
_atom_site_fract_z
Zn1 Zn 0.0000 0.0000 0.0000
Rh1 Rh 0.0000 0.5000 0.2500
Au1 Au 0.0000 0.0000 0.5000
```

Output
Calculated total energy (eV/atom): -4.85
Size of the total moment (μB/atom): 0.000
ΔH_f (0 K) (eV per atom): -0.03
Mass density (g cm⁻³): 12.879

No. 12
MgAlAg: optimized geometry, GGA-PBE.

Cell and atoms, written as CIF:
```
data_MgAlAg
_space_group_name_H-M_alt 'C 1 2/m 1'
_space_group_IT_number 12
_cell_length_a 8.2310
_cell_length_b 4.6101
_cell_length_c 6.1931
_cell_angle_alpha 90.00
_cell_angle_beta 105.74
_cell_angle_gamma 90.00
loop_
_space_group_symop_operation_xyz
'x,y,z'
'-x,-y,-z'
'-x,y,-z'
'x,-y,z'
'x+1/2,y+1/2,z'
'-x+1/2,-y+1/2,-z'
'-x+1/2,y+1/2,-z'
'x+1/2,-y+1/2,z'
loop_
_atom_site_label
_atom_site_type_symbol
_atom_site_fract_x
_atom_site_fract_y
_atom_site_fract_z
Mg1 Mg 0.1521 0.0000 0.3651
Al1 Al 0.2234 0.0000 0.8609
Ag1 Ag 0.0319 0.5000 0.7533
```

Output
Calculated total energy (eV/atom): -2.81
Size of the total moment (μB/atom): 0.000
ΔH_f (0 K) (eV per atom): -0.08
Mass density (g cm⁻³): 4.674